[1]
This record from Alexandria describes AlInClO2 after structural relaxation. The functional is PBE-GGA.

Results
VASP energy = -23.659 eV per cell
formation energy without anion corrections = -1083 meV/atom

Cell lengths 3.7331, 6.4181, 3.7331 Å; angles 90.00, 90.00, 90.00 degrees
Closest atoms and distances in Å follow each position.
Positions (direct):
In  0.0000  0.5000  0.0000  4 Cl 2.64
O  0.5000  0.0000  0.0000  2 Al 1.87
Cl  0.5000  0.5000  0.5000  4 In 2.64
O  0.0000  0.0000  0.5000  2 Al 1.87
Al  0.0000  0.0000  0.0000  4 O 1.87

[2]
This record from Alexandria describes AlInPbCl6 after structural relaxation. The functional is PBE-GGA.

Results
VASP energy = -32.307 eV per cell
formation energy without anion corrections = -1226 meV/atom

Cell lengths 7.0153, 7.0152, 6.6703 Å; angles 90.00, 90.00, 60.00 degrees
Closest atoms and distances in Å follow each position.
Positions (direct):
Cl  0.6031  0.0586  0.2920  1 Al 2.36
Cl  0.6030  0.3383  0.7080  1 Al 2.36
Cl  0.0586  0.6031  0.7080  1 Al 2.36
Al  0.3333  0.3333  0.5000  6 Cl 2.36
Pb  0.6666  0.6667  0.5000  6 Cl 2.91
In  0.0000  0.0000  0.0000  6 Cl 3.25
Cl  0.3383  0.6031  0.2920  1 Al 2.36
Cl  0.3383  0.0586  0.7080  1 Al 2.36
Cl  0.0586  0.3383  0.2920  1 Al 2.36

[3]
This record from Alexandria describes AlIn2PtCl after structural relaxation. The functional is PBE-GGA.

Results
VASP energy = -15.383 eV per cell
formation energy without anion corrections = 345 meV/atom

Cell lengths 5.3341, 4.5194, 5.3341 Å; angles 90.00, 90.00, 90.00 degrees
Closest atoms and distances in Å follow each position.
Positions (direct):
In  0.5000  0.0000  0.0000  2 Al 2.67
In  0.0000  0.0000  0.5000  2 Al 2.67
Cl  0.0000  0.5000  0.0000  2 Al 2.26
Pt  0.5000  0.5000  0.5000  8 In 3.50, 4 Cl 3.77
Al  0.0000  0.0000  0.0000  2 Cl 2.26

[4]
This record from Alexandria describes RbAlIn2Cl6 after structural relaxation. The functional is PBE-GGA.

Results
VASP energy = -34.204 eV per cell
formation energy without anion corrections = -1294 meV/atom

Cell lengths 6.5814, 7.3277, 7.3277 Å; angles 90.00, 90.00, 90.00 degrees
Closest atoms and distances in Å follow each position.
Positions (direct):
In  0.0026  0.5000  0.0000  4 Cl 3.18
Cl  0.7284  0.2141  0.7859  1 Al 2.30
Cl  0.7284  0.7859  0.2141  1 Al 2.30
Cl  0.7284  0.7859  0.7859  1 Al 2.30
Cl  0.7284  0.2141  0.2141  1 Al 2.30
Rb  0.5297  0.5000  0.5000  6 Cl 3.11-3.47
In  0.0026  0.0000  0.5000  4 Cl 3.18
Al  0.6354  0.0000  0.0000  5 Cl 2.17-2.30
Cl  0.0574  0.5000  0.5000  2 Rb 3.11-3.47
Cl  0.3055  0.0000  0.0000  1 Al 2.17

[5]
This record from Alexandria describes RbAl2InCl8 after structural relaxation. The functional is PBE-GGA.

Results
VASP energy = -44.729 eV per cell
formation energy without anion corrections = -1564 meV/atom

Cell lengths 6.8673, 6.8673, 10.4526 Å; angles 70.82, 70.82, 60.00 degrees
Closest atoms and distances in Å follow each position.
Positions (direct):
Cl  0.9460  0.5336  0.1978  1 Al 2.16
Cl  0.0540  0.4664  0.8022  1 Al 2.16
Cl  0.8312  0.8312  0.5064  1 Al 2.15
Cl  0.5336  0.3226  0.1978  1 Al 2.16
In  0.0000  0.0000  0.0000  6 Cl 3.32
Cl  0.6774  0.0540  0.8022  1 Al 2.16
Cl  0.3226  0.9460  0.1978  1 Al 2.16
Cl  0.4664  0.6774  0.8022  1 Al 2.16
Rb  0.5000  0.5000  0.5000  12 Cl 3.64-3.97
Cl  0.1688  0.1688  0.4936  1 Al 2.15
Al  0.7571  0.7571  0.7287  4 Cl 2.15-2.16
Al  0.2429  0.2429  0.2713  4 Cl 2.15-2.16

[6]
This record from Alexandria describes AlInSnCl6 after structural relaxation. The functional is PBE-GGA.

Results
VASP energy = -32.126 eV per cell
formation energy without anion corrections = -1174 meV/atom

Cell lengths 6.9374, 6.9374, 6.7336 Å; angles 90.00, 90.00, 60.00 degrees
Closest atoms and distances in Å follow each position.
Positions (direct):
Al  0.3333  0.3333  0.5000  6 Cl 2.36
In  0.0000  0.0000  0.0000  6 Cl 3.25
Cl  0.0545  0.6055  0.7054  1 Al 2.36
Sn  0.6666  0.6667  0.5000  6 Cl 2.86
Cl  0.6055  0.0545  0.2946  1 Al 2.36
Cl  0.0545  0.3400  0.2946  1 Al 2.36
Cl  0.3400  0.6055  0.2946  1 Al 2.36
Cl  0.6055  0.3400  0.7054  1 Al 2.36
Cl  0.3399  0.0545  0.7054  1 Al 2.36

[7]
This record from Alexandria describes SrAlInCl6 after structural relaxation. The functional is PBE-GGA.

Results
VASP energy = -34.163 eV per cell
formation energy without anion corrections = -1658 meV/atom

Cell lengths 7.0027, 7.0023, 6.7200 Å; angles 89.99, 89.99, 60.00 degrees
Closest atoms and distances in Å follow each position.
Positions (direct):
Cl  0.6044  0.0574  0.2940  1 Al 2.36
Cl  0.0573  0.3382  0.2940  1 Al 2.36
Sr  0.6666  0.6667  0.5000  6 Cl 2.90
Cl  0.6044  0.3383  0.7060  1 Al 2.36
Cl  0.3382  0.0574  0.7059  1 Al 2.36
Cl  0.0573  0.6044  0.7059  1 Al 2.36
Cl  0.3382  0.6044  0.2940  1 Al 2.36
Al  0.3333  0.3333  0.5000  6 Cl 2.36
In  0.0000  0.0000  0.0000  6 Cl 3.26

[8]
This record from Alexandria describes SrAl2InCl8 after structural relaxation. The functional is PBE-GGA.

Results
VASP energy = -44.446 eV per cell
formation energy without anion corrections = -1481 meV/atom

Cell lengths 6.8575, 6.8575, 9.6246 Å; angles 90.00, 90.00, 120.00 degrees
Closest atoms and distances in Å follow each position.
Positions (direct):
Sr  0.0000  0.0000  0.5000  6 Cl 3.01
Al  0.6667  0.3333  0.2567  4 Cl 2.12-2.18
Cl  0.6667  0.3333  0.0362  1 Al 2.12
In  0.0000  0.0000  0.0000  12 Cl 3.97-4.14
Cl  0.3635  0.9777  0.6628  1 Al 2.18
Cl  0.0223  0.3857  0.6628  1 Al 2.18
Cl  0.6143  0.6365  0.6628  1 Al 2.18
Cl  0.9777  0.6143  0.3372  1 Al 2.18
Cl  0.3333  0.6667  0.9638  1 Al 2.12
Al  0.3333  0.6667  0.7433  4 Cl 2.12-2.18
Cl  0.3857  0.3635  0.3372  1 Al 2.18
Cl  0.6365  0.0223  0.3372  1 Al 2.18

[9]
This record from Alexandria describes Al2InTcCl after structural relaxation. The functional is PBE-GGA.

Results
VASP energy = -16.565 eV per cell
formation energy without anion corrections = 1174 meV/atom

Cell lengths 5.0711, 5.0711, 5.8104 Å; angles 90.00, 90.00, 90.00 degrees
Closest atoms and distances in Å follow each position.
Positions (direct):
In  0.0000  0.0000  0.0000  4 Al 2.54
Cl  0.5000  0.5000  0.5000  4 Tc 3.59, 8 Al 3.86
Tc  0.0000  0.0000  0.5000  2 In 2.91
Al  0.0000  0.5000  0.0000  2 In 2.54
Al  0.5000  0.0000  0.0000  2 In 2.54

[10]
This record from Alexandria describes AlInW2Cl after structural relaxation. The functional is PBE-GGA.

Results
VASP energy = -24.682 eV per cell
formation energy without anion corrections = 1910 meV/atom

Cell lengths 4.7490, 5.0752, 4.7490 Å; angles 90.00, 90.00, 90.00 degrees
Closest atoms and distances in Å follow each position.
Positions (direct):
Cl  0.5000  0.5000  0.5000  4 In 3.36, 8 W 3.48
W  0.5000  0.0000  0.0000  2 Al 2.37
W  0.0000  0.0000  0.5000  2 Al 2.37
Al  0.0000  0.0000  0.0000  4 W 2.37, 2 In 2.54
In  0.0000  0.5000  0.0000  2 Al 2.54

[11]
This record from Alexandria describes Al2IrCl after structural relaxation. The functional is PBE-GGA.

Results
VASP energy = -21.267 eV per cell
formation energy without anion corrections = -769 meV/atom
offset from the most stable computed form = 0.0 kJ per mole of atoms

Cell lengths 3.0804, 3.0804, 7.4183 Å; angles 90.00, 90.00, 90.00 degrees
Closest atoms and distances in Å follow each position.
Positions (direct):
Ir  0.2500  0.2500  0.2500  8 Al 2.60
Al  0.7500  0.7500  0.0592  1 Cl 2.29
Cl  0.7500  0.7500  0.7500  2 Al 2.29
Al  0.7500  0.7500  0.4408  1 Cl 2.29

[12]
This record from Alexandria describes Al2IrCl after structural relaxation. The functional is PBE-GGA.

Results
VASP energy = -16.920 eV per cell
formation energy without anion corrections = 318 meV/atom
offset from the most stable computed form = 104.9 kJ per mole of atoms

Cell lengths 4.5353, 4.5353, 4.5353 Å; angles 60.00, 60.00, 60.00 degrees
Closest atoms and distances in Å follow each position.
Positions (direct):
Cl  0.5000  0.5000  0.5000  4 Ir 2.78, 4 Al 2.78
Al  0.0000  0.0000  0.0000  4 Al 2.78, 4 Ir 2.78
Al  0.2500  0.2500  0.2500  4 Cl 2.78, 4 Al 2.78
Ir  0.7500  0.7500  0.7500  4 Al 2.78, 4 Cl 2.78

- What is the formation energy without anion corrections in the eleventh record?
  -769 meV/atom